w:
An optimized crystal structure of Ga2Fe2Co. Source: the Alexandria database, functional GGA-PBE.

- calculated density (g cm⁻³) = 7.89
- crystal system = tetragonal
- space group = P4/mbm (127)
- DOS(E_F) (states/eV/cell) = 9.66

Cell lengths 6.4830, 6.4830, 3.1058 Å; angles 90.00, 90.00, 90.00 degrees
Site moments in Bohr magnetons follow the coordinates.
Positions (direct):
Fe1 0.6614 0.8386 0.5000  2.24
Co1 0.5000 0.5000 0.0000  1.54
Ga1 0.1402 0.3598 0.0000  -0.10
Ga2 0.6402 0.1402 0.0000  -0.10
Fe2 0.8386 0.3386 0.5000  2.24
Fe3 0.1614 0.6614 0.5000  2.24
Ga3 0.8598 0.6402 0.0000  -0.10
Fe4 0.3386 0.1614 0.5000  2.24
Ga4 0.3598 0.8598 0.0000  -0.10
Co2 0.0000 0.0000 0.0000  1.54

x:
An optimized crystal structure of Ga2Fe2Co. Source: the Alexandria database, functional GGA-PBE.

- calculated density (g cm⁻³) = 7.84
- crystal system = tetragonal
- space group = P4/mbm (127)
- DOS(E_F) (states/eV/cell) = 11.92

Cell lengths 7.1013, 7.1013, 2.6037 Å; angles 90.00, 90.00, 90.00 degrees
Site moments in Bohr magnetons follow the coordinates.
Positions (direct):
Ga1 0.8200 0.3200 0.5000  -0.09
Fe1 0.3822 0.8822 0.0000  1.99
Fe2 0.1178 0.3822 0.0000  1.99
Fe3 0.6178 0.1178 0.0000  1.99
Co1 0.5000 0.5000 0.0000  1.62
Ga2 0.3200 0.1800 0.5000  -0.09
Fe4 0.8822 0.6178 0.0000  1.99
Co2 0.0000 0.0000 0.0000  1.62
Ga3 0.1800 0.6800 0.5000  -0.09
Ga4 0.6800 0.8200 0.5000  -0.09

Q: What are the energies relative to the best structure? A: w 0.000; x 0.060, in eV/atom.

w:
An optimized crystal structure of Fe2Co2Ge. Source: the Alexandria database, functional GGA-PBE.

- calculated density (g cm⁻³) = 6.30
- crystal system = tetragonal
- space group = P4/mmm (123)
- DOS(E_F) (states/eV/cell) = 4.94

Cell lengths 4.3149, 4.3149, 4.2797 Å; angles 90.00, 90.00, 90.00 degrees
Site moments in Bohr magnetons follow the coordinates.
Positions (direct):
Fe1 0.5000 0.0000 0.0000  2.94
Ge1 0.5000 0.5000 0.5000  -0.04
Fe2 0.0000 0.5000 0.0000  2.94
Co1 0.0000 0.0000 0.0000  1.57
Co2 0.0000 0.0000 0.5000  1.81

x:
An optimized crystal structure of Fe2Co2Ge. Source: the Alexandria database, functional GGA-PBE.

- calculated density (g cm⁻³) = 7.92
- crystal system = tetragonal
- space group = P4/mbm (127)
- DOS(E_F) (states/eV/cell) = 8.96

Cell lengths 6.8178, 6.8178, 2.7250 Å; angles 90.00, 90.00, 90.00 degrees
Site moments in Bohr magnetons follow the coordinates.
Positions (direct):
Fe1 0.1453 0.3547 0.0000  2.53
Co1 0.8544 0.3544 0.5000  1.49
Ge1 0.5000 0.5000 0.0000  -0.03
Fe2 0.3547 0.8547 0.0000  2.53
Co2 0.3544 0.1456 0.5000  1.49
Ge2 0.0000 0.0000 0.0000  -0.03
Co3 0.1456 0.6456 0.5000  1.49
Fe3 0.8547 0.6453 0.0000  2.53
Fe4 0.6453 0.1453 0.0000  2.53
Co4 0.6456 0.8544 0.5000  1.49

y:
An optimized crystal structure of Fe2Co2Ge. Source: the Alexandria database, functional GGA-PBE.

- calculated density (g cm⁻³) = 8.58
- crystal system = monoclinic
- space group = C2/m (12)
- DOS(E_F) (states/eV/cell) = 6.66

Cell lengths 4.0189, 4.0105, 10.3900 Å; angles 54.54, 78.85, 59.93 degrees
Site moments in Bohr magnetons follow the coordinates.
Positions (direct):
Co1 0.4498 0.7517 0.8488  1.33
Co2 0.5502 0.2483 0.1512  1.33
Co3 0.0502 0.7483 0.6512  1.33
Fe1 0.8504 0.7487 0.0505  2.54
Co4 0.9498 0.2517 0.3488  1.33
Fe2 0.1496 0.2513 0.9495  2.54
Ge1 0.2500 0.7500 0.2500  -0.05
Fe3 0.6496 0.7513 0.4495  2.54
Fe4 0.3504 0.2487 0.5505  2.54
Ge2 0.7500 0.2500 0.7500  -0.05

Q: What are the energies relative to the best structure? A: w 1.039; x 0.328; y 0.000, in eV/atom.

w:
An optimized crystal structure of FeCo3Ge. Source: the Alexandria database, functional GGA-PBE.

- calculated density (g cm⁻³) = 8.77
- crystal system = orthorhombic
- space group = Cmcm (63)
- DOS(E_F) (states/eV/cell) = 7.69

Cell lengths 4.0183, 4.0209, 7.4353 Å; angles 90.00, 74.33, 90.00 degrees
Site moments in Bohr magnetons follow the coordinates.
Positions (direct):
Fe1 0.8518 0.8444 0.0152  2.76
Co1 0.4553 0.8444 0.8078  1.10
Co2 0.7583 0.3444 0.2014  1.43
Co3 0.1528 0.3444 0.4127  1.42
Co4 0.6528 0.8444 0.4132  1.43
Ge1 0.3564 0.3444 0.0052  -0.04
Fe2 0.5594 0.3445 0.5994  2.76
Co5 0.2584 0.8444 0.2019  1.42
Co6 0.9557 0.3444 0.8067  1.10
Ge2 0.0547 0.8443 0.6093  -0.04

x:
An optimized crystal structure of FeCo3Ge. Source: the Alexandria database, functional GGA-PBE.

- calculated density (g cm⁻³) = 6.69
- crystal system = cubic
- space group = Pm-3m (221)
- DOS(E_F) (states/eV/cell) = 7.04

Cell lengths 4.2310, 4.2310, 4.2310 Å; angles 90.00, 90.00, 90.00 degrees
Site moments in Bohr magnetons follow the coordinates.
Positions (direct):
Ge1 0.5000 0.5000 0.5000  0.00
Fe1 0.0000 0.0000 0.0000  2.29
Co1 0.0000 0.5000 0.0000  1.71
Co2 0.5000 0.0000 0.0000  1.20
Co3 0.0000 0.0000 0.5000  2.05

y:
An optimized crystal structure of FeCo3Ge. Source: the Alexandria database, functional GGA-PBE.

- calculated density (g cm⁻³) = 6.53
- crystal system = cubic
- space group = Pm-3m (221)
- DOS(E_F) (states/eV/cell) = 2.73

Cell lengths 4.2662, 4.2662, 4.2662 Å; angles 90.00, 90.00, 90.00 degrees
Site moments in Bohr magnetons follow the coordinates.
Positions (direct):
Fe1 0.5000 0.5000 0.5000  3.36
Ge1 0.0000 0.0000 0.0000  -0.05
Co1 0.5000 0.0000 0.0000  1.38
Co2 0.0000 0.0000 0.5000  1.36
Co3 0.0000 0.5000 0.0000  1.23

Q: What are the energies relative to the best structure? A: w 0.000; x 1.196; y 1.073, in eV/atom.

w:
An optimized crystal structure of Fe3CoGe. Source: the Alexandria database, functional GGA-PBE.

- calculated density (g cm⁻³) = 5.84
- crystal system = cubic
- space group = Pm-3m (221)
- DOS(E_F) (states/eV/cell) = 9.23

Cell lengths 4.3981, 4.3981, 4.3981 Å; angles 90.00, 90.00, 90.00 degrees
Site moments in Bohr magnetons follow the coordinates.
Positions (direct):
Fe1 0.0000 0.0000 0.5000  2.71
Fe2 0.0000 0.5000 0.0000  2.59
Fe3 0.5000 0.0000 0.0000  2.48
Ge1 0.0000 0.0000 0.0000  -0.12
Co1 0.5000 0.5000 0.5000  2.04

x:
An optimized crystal structure of Fe3CoGe. Source: the Alexandria database, functional GGA-PBE.

- calculated density (g cm⁻³) = 5.62
- crystal system = cubic
- space group = Pm-3m (221)
- DOS(E_F) (states/eV/cell) = 7.90

Cell lengths 4.4552, 4.4552, 4.4552 Å; angles 90.00, 90.00, 90.00 degrees
Site moments in Bohr magnetons follow the coordinates.
Positions (direct):
Co1 0.0000 0.0000 0.0000  1.55
Fe1 0.0000 0.0000 0.5000  3.34
Ge1 0.5000 0.5000 0.5000  -0.06
Fe2 0.5000 0.0000 0.0000  2.67
Fe3 0.0000 0.5000 0.0000  3.07

Q: What are the energies relative to the best structure? A: w 0.227; x 0.000, in eV/atom.

w:
An optimized crystal structure of Fe8Co2Ge. Source: the Alexandria database, functional GGA-PBE.

- calculated density (g cm⁻³) = 8.24
- crystal system = monoclinic
- space group = C2/m (12)
- DOS(E_F) (states/eV/cell) = 7.52

Cell lengths 2.9041, 6.3277, 7.3834 Å; angles 75.18, 78.65, 89.98 degrees
Site moments in Bohr magnetons follow the coordinates.
Positions (direct):
Fe1 0.3587 0.8128 0.2519  2.33
Fe2 0.8182 0.0921 0.3324  2.56
Fe3 0.4530 0.2763 0.0619  2.11
Fe4 0.1809 0.9085 0.6069  2.56
Co1 0.7263 0.6365 0.5161  1.76
Fe5 0.5460 0.7243 0.8775  2.11
Fe6 0.6403 0.1877 0.6875  2.33
Ge1 0.9995 0.0003 0.9697  -0.12
Fe7 0.0903 0.4548 0.7879  2.56
Co2 0.2727 0.3640 0.4233  1.76
Fe8 0.9088 0.5457 0.1515  2.56

x:
An optimized crystal structure of Fe8Co2Ge. Source: the Alexandria database, functional GGA-PBE.

- calculated density (g cm⁻³) = 7.12
- crystal system = monoclinic
- space group = C2/m (12)
- DOS(E_F) (states/eV/cell) = 11.15

Cell lengths 4.0800, 6.1474, 6.1474 Å; angles 83.49, 79.51, 79.51 degrees
Site moments in Bohr magnetons follow the coordinates.
Positions (direct):
Co1 0.4434 0.1416 0.1416  1.33
Fe1 0.1990 0.3516 0.8380  2.67
Ge1 0.0000 0.0000 0.0000  -0.11
Co2 0.5566 0.8584 0.8584  1.33
Fe2 0.1216 0.7283 0.7283  2.03
Fe3 0.7059 0.5778 0.5778  2.58
Fe4 0.2941 0.4222 0.4222  2.58
Fe5 0.8784 0.2717 0.2717  2.03
Fe6 0.8010 0.6484 0.1620  2.67
Fe7 0.1990 0.8380 0.3516  2.67
Fe8 0.8010 0.1620 0.6484  2.67

Q: What are the energies relative to the best structure? A: w 0.000; x 0.429, in eV/atom.

w:
An optimized crystal structure of FeCoGe2Mo. Source: the Alexandria database, functional GGA-PBE.

- calculated density (g cm⁻³) = 7.03
- crystal system = tetragonal
- space group = P4/mmm (123)
- DOS(E_F) (states/eV/cell) = 3.96

Cell lengths 4.3272, 4.4922, 4.3272 Å; angles 90.00, 90.00, 90.00 degrees
Site moments in Bohr magnetons follow the coordinates.
Positions (direct):
Ge1 0.0000 0.0000 0.5000  -0.02
Ge2 0.5000 0.0000 0.0000  0.02
Fe1 0.0000 0.5000 0.0000  2.76
Co1 0.0000 0.0000 0.0000  0.46
Mo1 0.5000 0.5000 0.5000  1.97

x:
An optimized crystal structure of FeCoGe2Mo. Source: the Alexandria database, functional GGA-PBE.

- calculated density (g cm⁻³) = 5.65
- crystal system = tetragonal
- space group = P4/mmm (123)
- DOS(E_F) (states/eV/cell) = 7.54

Cell lengths 4.8606, 4.4308, 4.8606 Å; angles 90.00, 90.00, 90.00 degrees
Site moments in Bohr magnetons follow the coordinates.
Positions (direct):
Co1 0.0000 0.5000 0.0000  0.48
Mo1 0.0000 0.0000 0.0000  0.15
Ge1 0.0000 0.0000 0.5000  -0.02
Ge2 0.5000 0.0000 0.0000  -0.01
Fe1 0.5000 0.5000 0.5000  3.22

Q: What are the energies relative to the best structure? A: w 0.000; x 0.381, in eV/atom.

w:
An optimized crystal structure of FeCoGeSb2. Source: the Alexandria database, functional GGA-PBE.

- calculated density (g cm⁻³) = 6.54
- crystal system = tetragonal
- space group = P4/mmm (123)
- DOS(E_F) (states/eV/cell) = 5.62

Cell lengths 4.8601, 4.6340, 4.8601 Å; angles 90.00, 90.00, 90.00 degrees
Site moments in Bohr magnetons follow the coordinates.
Positions (direct):
Sb1 0.0000 0.0000 0.5000  0.02
Co1 0.0000 0.0000 0.0000  0.56
Ge1 0.5000 0.5000 0.5000  -0.08
Fe1 0.0000 0.5000 0.0000  3.11
Sb2 0.5000 0.0000 0.0000  0.03

x:
An optimized crystal structure of FeCoGeSb2. Source: the Alexandria database, functional GGA-PBE.

- calculated density (g cm⁻³) = 5.85
- crystal system = tetragonal
- space group = P4/mmm (123)
- DOS(E_F) (states/eV/cell) = 5.60

Cell lengths 5.2769, 4.3920, 5.2769 Å; angles 90.00, 90.00, 90.00 degrees
Site moments in Bohr magnetons follow the coordinates.
Positions (direct):
Sb1 0.5000 0.0000 0.0000  -0.03
Sb2 0.0000 0.0000 0.5000  -0.02
Fe1 0.0000 0.5000 0.0000  2.49
Co1 0.5000 0.5000 0.5000  1.90
Ge1 0.0000 0.0000 0.0000  -0.09

Q: What are the energies relative to the best structure? A: w 0.000; x 0.614, in eV/atom.

w:
An optimized crystal structure of FeCoH2. Source: the Alexandria database, functional GGA-PBE.

- calculated density (g cm⁻³) = 6.84
- crystal system = orthorhombic
- space group = Pna2_1 (33)
- DOS(E_F) (states/eV/cell) = 6.06

Cell lengths 4.3861, 4.6736, 5.5293 Å; angles 90.00, 90.00, 90.00 degrees
Site moments in Bohr magnetons follow the coordinates.
Positions (direct):
Co1 0.0046 0.5796 0.8752  1.06
H1 0.8883 0.4124 0.6315  -0.02
Fe1 0.0040 0.0788 0.1235  2.32
Co2 0.5046 0.4204 0.1248  1.06
H2 0.3883 0.0876 0.1315  -0.02
H3 0.3883 0.5876 0.3685  -0.02
Fe2 0.5040 0.9212 0.8765  2.32
Co3 0.0046 0.0796 0.6248  1.06
Fe3 0.5040 0.4212 0.6235  2.32
H4 0.8762 0.4219 0.1191  -0.02
H5 0.8762 0.9219 0.3809  -0.02
H6 0.3762 0.5781 0.8809  -0.02
H7 0.3762 0.0781 0.6191  -0.02
Fe4 0.0040 0.5788 0.3765  2.32
H8 0.8883 0.9124 0.8685  -0.02
Co4 0.5046 0.9204 0.3752  1.06

x:
An optimized crystal structure of FeCoH2. Source: the Alexandria database, functional GGA-PBE.

- calculated density (g cm⁻³) = 6.75
- crystal system = cubic
- space group = Fm-3m (225)
- DOS(E_F) (states/eV/cell) = 1.45

Cell lengths 3.4371, 3.4371, 3.4371 Å; angles 60.00, 60.00, 60.00 degrees
Site moments in Bohr magnetons follow the coordinates.
Positions (direct):
Fe1 0.0000 0.0000 0.0000  2.67
H1 0.2500 0.2500 0.2500  -0.01
H2 0.7500 0.7500 0.7500  -0.01
Co1 0.5000 0.5000 0.5000  1.39

Q: What are the energies relative to the best structure? A: w 0.000; x 0.390, in eV/atom.

w:
An optimized crystal structure of FeCoH2. Source: the Alexandria database, functional GGA-PBE.

- calculated density (g cm⁻³) = 6.70
- crystal system = trigonal
- space group = R-3m (166)
- DOS(E_F) (states/eV/cell) = 2.15

Cell lengths 2.6820, 2.6820, 4.8948 Å; angles 74.10, 74.10, 60.00 degrees
Site moments in Bohr magnetons follow the coordinates.
Positions (direct):
H1 0.1208 0.1208 0.6376  -0.01
Co1 0.5000 0.5000 0.5000  0.85
Fe1 0.0000 0.0000 0.0000  2.71
H2 0.8792 0.8792 0.3624  -0.01

x:
An optimized crystal structure of FeCoH2. Source: the Alexandria database, functional GGA-PBE.

- calculated density (g cm⁻³) = 7.52
- crystal system = monoclinic
- space group = C2/c (15)
- DOS(E_F) (states/eV/cell) = 9.18

Cell lengths 4.5612, 4.5391, 5.8948 Å; angles 104.95, 105.09, 109.18 degrees
Site moments in Bohr magnetons follow the coordinates.
Positions (direct):
H1 0.6976 0.4399 0.8739  -0.02
H2 0.5660 0.8092 0.6243  -0.02
H3 0.4340 0.1908 0.3757  -0.02
Co1 0.0642 0.8142 0.1284  1.08
H4 0.0583 0.3151 0.6243  -0.02
Fe1 0.3125 0.0625 0.6250  2.16
H5 0.3024 0.5601 0.1261  -0.02
Co2 0.1890 0.4390 0.3779  1.05
H6 0.1763 0.9340 0.8739  -0.02
H7 0.8237 0.0660 0.1261  -0.02
Fe2 0.5620 0.3120 0.1239  2.22
Co3 0.9358 0.1858 0.8716  1.08
Co4 0.8110 0.5610 0.6221  1.05
Fe3 0.4380 0.6880 0.8761  2.22
H8 0.9417 0.6849 0.3757  -0.02
Fe4 0.6875 0.9375 0.3750  2.16

Q: What are the energies relative to the best structure? A: w 0.130; x 0.000, in eV/atom.

w:
An optimized crystal structure of FeCo2H2. Source: the Alexandria database, functional GGA-PBE.

- calculated density (g cm⁻³) = 7.38
- crystal system = tetragonal
- space group = P4/mbm (127)
- DOS(E_F) (states/eV/cell) = 5.74

Cell lengths 5.3658, 5.3658, 2.7465 Å; angles 90.00, 90.00, 90.00 degrees
Site moments in Bohr magnetons follow the coordinates.
Positions (direct):
Co1 0.3393 0.1607 0.5000  1.24
Co2 0.1607 0.6607 0.5000  1.28
Co3 0.6607 0.8393 0.5000  1.24
H1 0.3014 0.8014 0.0000  -0.02
H2 0.6986 0.1986 0.0000  -0.02
Fe1 0.0000 0.0000 0.0000  2.54
H3 0.1986 0.3014 0.0000  -0.02
Fe2 0.5000 0.5000 0.0000  2.53
Co4 0.8393 0.3393 0.5000  1.28
H4 0.8014 0.6986 0.0000  -0.02

x:
An optimized crystal structure of FeCo2H2. Source: the Alexandria database, functional GGA-PBE.

- calculated density (g cm⁻³) = 7.50
- crystal system = tetragonal
- space group = I4/mmm (139)
- DOS(E_F) (states/eV/cell) = 3.00

Cell lengths 2.8137, 2.8137, 5.3033 Å; angles 74.62, 74.62, 90.00 degrees
Site moments in Bohr magnetons follow the coordinates.
Positions (direct):
H1 0.2500 0.7500 0.5000  -0.01
Fe1 0.0000 0.0000 0.0000  2.88
Co1 0.6468 0.6468 0.7065  1.08
H2 0.7500 0.2500 0.5000  -0.01
Co2 0.3532 0.3532 0.2935  1.08

y:
An optimized crystal structure of FeCo2H2. Source: the Alexandria database, functional GGA-PBE.

- calculated density (g cm⁻³) = 7.97
- crystal system = trigonal
- space group = P-3m1 (164)
- DOS(E_F) (states/eV/cell) = 4.43

Cell lengths 2.5776, 2.5777, 6.3603 Å; angles 90.00, 90.00, 120.00 degrees
Site moments in Bohr magnetons follow the coordinates.
Positions (direct):
H1 0.8333 0.1666 0.1748  -0.02
H2 0.1667 0.8334 0.8252  -0.02
Co1 0.1666 0.8332 0.3440  1.38
Fe1 0.5000 0.5000 0.0000  2.04
Co2 0.8334 0.1668 0.6560  1.38

Q: What are the energies relative to the best structure? A: w 0.182; x 0.066; y 0.000, in eV/atom.